Record 1
Tc2SnOsW, PBEsol geometry, DFT SCAN; volume = 102.0 Å³ per cell; energy of formation from the pure elements = 171 kJ per mole of atoms
1.0
-0.483 -4.606 -0.425
3.495 -0.084 -3.067
3.072 -0.647 3.518
Os Sn W Tc
1 1 1 2
Direct
0.000 0.000 0.500 Os
0.500 0.500 0.500 Sn
0.000 0.000 0.000 W
0.000 0.500 0.000 Tc
0.500 0.000 0.000 Tc

---

Record 2
Mg2HgPtF, PBEsol geometry, DFT SCAN; volume = 82.6 Å³ per cell; formation energy from raw total energies = -0.78 eV per atom
1.0
4.027 0.000 0.000
0.000 4.027 0.000
0.000 0.000 5.093
Mg Hg Pt F
2 1 1 1
Direct
0.000 0.500 0.000 Mg
0.500 0.000 0.000 Mg
0.500 0.500 0.500 Hg
0.000 0.000 0.500 Pt
0.000 0.000 0.000 F

---

Record 3
CsNaIn2, PBEsol geometry, DFT SCAN; volume = 138.9 Å³ per cell; energy of formation from the pure elements = 12 kJ per mole of atoms
1.0
5.813 0.000 0.000
2.906 5.034 0.000
2.906 1.678 4.746
Cs Na In
1 1 2
Direct
0.500 0.500 0.500 Cs
0.000 0.000 0.000 Na
0.250 0.250 0.250 In
0.750 0.750 0.750 In

---

Record 4
CdFeAu2, PBEsol geometry, DFT SCAN; volume = 65.4 Å³ per cell; energy of formation from the pure elements = -3 kJ per mole of atoms
1.0
4.213 0.000 0.000
-2.106 4.245 0.036
0.000 2.059 3.675
Au Cd Fe
2 1 1
Direct
0.250 0.500 0.250 Au
0.750 0.500 0.750 Au
0.500 0.000 0.500 Cd
0.000 0.000 0.000 Fe

---

Record 5
NaFe3As, PBEsol geometry, DFT SCAN; volume = 82.8 Å³ per cell; energy of formation from the pure elements = 167 kJ per mole of atoms
1.0
-1.952 -3.385 1.932
3.822 -1.239 1.691
-0.764 2.451 3.522
Na As Fe
1 1 3
Direct
0.000 0.000 0.000 Na
0.500 0.500 0.500 As
0.000 0.500 0.000 Fe
0.000 0.000 0.500 Fe
0.500 0.000 0.000 Fe

---

Record 6
LiScNb2, PBEsol geometry, DFT SCAN; volume = 69.6 Å³ per cell; energy of formation from the pure elements = 58 kJ per mole of atoms
1.0
-1.199 1.852 -4.055
-0.598 -2.711 -3.688
-4.239 -0.694 -1.691
Sc Nb Li
1 2 1
Direct
0.500 0.500 0.500 Sc
0.250 0.250 0.250 Nb
0.750 0.750 0.750 Nb
0.000 0.000 0.000 Li